# 1
Computed, not measured: a relaxed TaSiOs crystal at the PBE level of DFT.

- final energy (eV per cell) = -27.8
- energy relative to the elements, uncorrected (meV per atom) = 250

Geometry as POSCAR:
```
TaSiOs
1.0
-0.478 -2.294 3.549
3.329 -2.052 1.670
1.716 1.347 3.650
Os Si Ta
1 1 1
Direct
0.000 0.000 0.000
0.500 0.500 0.500
0.750 0.750 0.750
```

***

# 2
Computed, not measured: a relaxed Ba2HgN crystal at the PBE level of DFT.

- relative energy among the computed polymorphs (eV per atom) = 0.0000
- final energy (eV per cell) = -14.1
- energy relative to the elements, uncorrected (meV per atom) = -406

Geometry as POSCAR:
```
Ba2HgN
1.0
4.087 -0.001 -0.002
2.042 3.540 -0.002
2.039 1.177 8.662
Ba Hg N
2 1 1
Direct
0.058 0.058 0.824
0.276 0.276 0.173
0.500 0.500 0.500
0.666 0.666 0.002
```

***

# 3
Computed, not measured: a relaxed SmAgHg3 crystal at the PBE level of DFT.

- relative energy among the computed polymorphs (eV per atom) = 0.0000
- final energy (eV per cell) = -19.5
- ΔE_f (eV per atom) = -0.257

Geometry as POSCAR:
```
SmAgHg3
1.0
-0.144 -0.533 5.098
2.228 -4.639 -0.421
7.964 3.538 3.152
Sm Ag Hg
2 2 6
Direct
0.355 0.345 0.005
0.056 0.844 0.609
0.862 0.844 0.995
0.549 0.345 0.620
0.156 0.344 0.407
0.956 0.344 0.805
0.656 0.844 0.409
0.755 0.344 0.205
0.256 0.844 0.207
0.455 0.845 0.809
```

***

# 4
Computed, not measured: a relaxed NaMgBi2Se4 crystal at the PBE level of DFT.

- final energy (eV per cell) = -29.8
- energy relative to the elements, uncorrected (meV per atom) = -651

Geometry as POSCAR:
```
NaMgBi2Se4
1.0
4.166 0.000 0.000
0.000 7.779 0.128
0.000 -2.803 6.571
Na Mg Bi Se
1 1 2 4
Direct
0.500 0.500 0.000
0.000 0.000 0.000
0.500 0.000 0.500
0.000 0.500 0.500
0.500 0.237 0.259
0.500 0.763 0.741
0.000 0.216 0.783
0.000 0.784 0.217
```

***

# 5
Computed, not measured: a relaxed GeBIO2 crystal at the PBE level of DFT.

- relative energy among the computed polymorphs (eV per atom) = 0.2442
- final energy (eV per cell) = -20.3
- energy relative to the elements, uncorrected (meV per atom) = 495

Geometry as POSCAR:
```
GeBIO2
1.0
-2.001 1.081 3.062
-3.115 -1.656 -1.451
1.116 -3.963 2.128
I Ge B O
1 1 1 2
Direct
0.000 0.000 0.500
0.500 0.500 0.500
0.000 0.000 0.000
0.000 0.500 0.000
0.500 0.000 0.000
```

***

# 6
Computed, not measured: a relaxed BaCdPt2 crystal at the PBE level of DFT.

- final energy (eV per cell) = -16.4
- ΔE_f (eV per atom) = -0.374

Geometry as POSCAR:
```
BaCdPt2
1.0
4.335 0.000 0.000
0.000 4.116 0.016
0.000 2.041 5.618
Ba Pt Cd
1 2 1
Direct
0.000 0.472 0.430
0.000 0.205 0.969
0.500 0.065 0.244
0.500 0.758 0.857
```

***

# 7
Computed, not measured: a relaxed ScSn3Sb crystal at the PBE level of DFT.

- relative energy among the computed polymorphs (eV per atom) = 0.0000
- final energy (eV per cell) = -20.3
- energy relative to the elements, uncorrected (meV per atom) = 424

Geometry as POSCAR:
```
ScSn3Sb
1.0
5.500 0.000 0.000
0.000 5.500 0.000
0.000 0.000 5.500
Sc Sb Sn
1 1 3
Direct
0.000 0.000 0.000
0.500 0.500 0.500
0.000 0.500 0.000
0.000 0.000 0.500
0.500 0.000 0.000
```

***

# 8
Computed, not measured: a relaxed MnCr2Sn crystal at the PBE level of DFT.

- final energy (eV per cell) = -57.9
- ΔE_f (eV per atom) = 0.867

Geometry as POSCAR:
```
MnCr2Sn
1.0
3.750 0.000 0.000
0.000 3.750 0.000
1.875 1.875 8.734
Cr Mn Sn
4 2 2
Direct
0.548 0.125 0.250
0.202 0.625 0.250
0.375 0.452 0.750
0.875 0.798 0.750
0.500 0.500 0.000
0.250 0.750 0.500
0.000 0.000 0.000
0.750 0.250 0.500
```

***

# 9
Computed, not measured: a relaxed LaSc3I crystal at the PBE level of DFT.

- relative energy among the computed polymorphs (eV per atom) = 0.7010
- final energy (eV per cell) = -21.0
- energy relative to the elements, uncorrected (meV per atom) = 893

Geometry as POSCAR:
```
LaSc3I
1.0
5.465 0.000 0.000
0.000 5.465 0.000
0.000 0.000 5.465
I Sc La
1 3 1
Direct
0.500 0.500 0.500
0.000 0.500 0.000
0.000 0.000 0.500
0.500 0.000 0.000
0.000 0.000 0.000
```

***

# 10
Computed, not measured: a relaxed Ca3MnRh crystal at the PBE level of DFT.

- relative energy among the computed polymorphs (eV per atom) = 0.1430
- final energy (eV per cell) = -18.4
- ΔE_f (eV per atom) = 0.821

Geometry as POSCAR:
```
Ca3MnRh
1.0
-1.144 1.383 -4.924
4.829 -1.372 -1.507
-1.687 -4.866 -0.974
Ca Mn Rh
3 1 1
Direct
0.000 0.500 0.000
0.000 0.000 0.500
0.500 0.000 0.000
0.000 0.000 0.000
0.500 0.500 0.500
```

***

# 11
Computed, not measured: a relaxed Ce3IrPbN crystal at the PBE level of DFT.

- final energy (eV per cell) = -86.9
- energy relative to the elements, uncorrected (meV per atom) = -789

Geometry as POSCAR:
```
Ce3IrPbN
1.0
-3.173 -0.420 2.478
5.608 -0.707 7.059
-1.707 9.151 -0.635
Ce Ir Pb N
6 2 2 2
Direct
0.250 0.835 0.472
0.750 0.873 0.151
0.750 0.445 0.158
0.750 0.165 0.528
0.250 0.555 0.842
0.250 0.127 0.849
0.250 0.657 0.152
0.750 0.343 0.848
0.750 0.818 0.768
0.250 0.182 0.232
0.250 0.080 0.601
0.750 0.920 0.399
```

***

# 12
Computed, not measured: a relaxed CuIr2 crystal at the PBE level of DFT.

- relative energy among the computed polymorphs (eV per atom) = 0.0342
- final energy (eV per cell) = -43.1
- ΔE_f (eV per atom) = 0.095

Geometry as POSCAR:
```
CuIr2
1.0
1.356 4.940 0.002
-1.356 4.940 0.002
0.000 1.681 6.218
Cu Ir
2 4
Direct
0.975 0.975 0.815
0.025 0.025 0.185
0.364 0.364 0.522
0.703 0.703 0.858
0.297 0.297 0.142
0.636 0.636 0.478
```